No. 1
## MoPtN3 (PBE)

Data for an optimized crystal structure of MoPtN3.

**Uncorrected formation energy**: 6.23 eV per formula unit
**Space group**: Pm-3m
**Crystal system**: cubic
**Total DFT energy (no corrections)**: -7.12 eV/atom

Geometry as CIF:
```
data_MoPtN3
_cell_length_a 3.942
_cell_length_b 3.942
_cell_length_c 3.942
_cell_angle_alpha 90.00
_cell_angle_beta 90.00
_cell_angle_gamma 90.00
_space_group_name_H-M_alt 'P 1'
_space_group_IT_number 1
_space_group_name_Hall 'P 1'
loop_
_atom_site_label
_atom_site_fract_x
_atom_site_fract_y
_atom_site_fract_z
_atom_site_occupancy
Mo1 0.000 0.000 0.000 1
Pt1 0.500 0.500 0.500 1
N1 0.000 0.000 0.500 1
N2 0.000 0.500 0.000 1
N3 0.500 0.000 0.000 1
```

***

No. 2
## Ga2SnF8 (PBE)

Data for an optimized crystal structure of Ga2SnF8.

**Uncorrected formation energy**: -26.90 eV per formula unit
**Space group**: P-3
**Crystal system**: trigonal
**Total DFT energy (no corrections)**: -4.72 eV/atom

Geometry as CIF:
```
data_Ga2SnF8
_cell_length_a 6.951
_cell_length_b 6.951
_cell_length_c 3.932
_cell_angle_alpha 90.00
_cell_angle_beta 90.00
_cell_angle_gamma 120.00
_space_group_name_H-M_alt 'P 1'
_space_group_IT_number 1
_space_group_name_Hall 'P 1'
loop_
_atom_site_label
_atom_site_fract_x
_atom_site_fract_y
_atom_site_fract_z
_atom_site_occupancy
Ga1 0.333 0.667 0.258 1
Ga2 0.667 0.333 0.742 1
Sn1 0.000 0.000 0.000 1
F1 0.181 0.817 0.259 1
F2 0.183 0.364 0.259 1
F3 0.333 0.667 0.757 1
F4 0.364 0.181 0.741 1
F5 0.636 0.819 0.259 1
F6 0.667 0.333 0.243 1
F7 0.817 0.636 0.741 1
F8 0.819 0.183 0.741 1
```

***

No. 3
## Dy5TmIn (PBE)

Data for an optimized crystal structure of Dy5TmIn.

**Space group**: Imm2
**Crystal system**: orthorhombic
**Total DFT energy (no corrections)**: -3.52 eV/atom
**E_form**: 5.59 eV per formula unit

Geometry as CIF:
```
data_Dy5TmIn
_cell_length_a 7.704
_cell_length_b 7.704
_cell_length_c 7.704
_cell_angle_alpha 113.78
_cell_angle_beta 83.38
_cell_angle_gamma 135.41
_space_group_name_H-M_alt 'P 1'
_space_group_IT_number 1
_space_group_name_Hall 'P 1'
loop_
_atom_site_label
_atom_site_fract_x
_atom_site_fract_y
_atom_site_fract_z
_atom_site_occupancy
Dy1 0.000 0.000 0.000 1
Dy2 0.388 0.638 0.750 1
Dy3 0.728 0.055 0.327 1
Dy4 0.728 0.401 0.673 1
Dy5 0.888 0.638 0.250 1
Tm1 0.491 0.491 0.000 1
In1 0.248 0.748 0.500 1
```

***

No. 4
## Ce2Co5Si2 (PBE)

Data for an optimized crystal structure of Ce2Co5Si2.

**Uncorrected formation energy**: -3.99 eV per formula unit
**Space group**: P4/mmm
**Crystal system**: tetragonal
**Total DFT energy (no corrections)**: -6.92 eV/atom

Geometry as CIF:
```
data_Ce2Co5Si2
_cell_length_a 3.956
_cell_length_b 3.956
_cell_length_c 8.400
_cell_angle_alpha 90.00
_cell_angle_beta 90.00
_cell_angle_gamma 90.00
_space_group_name_H-M_alt 'P 1'
_space_group_IT_number 1
_space_group_name_Hall 'P 1'
loop_
_atom_site_label
_atom_site_fract_x
_atom_site_fract_y
_atom_site_fract_z
_atom_site_occupancy
Ce1 0.000 0.000 0.000 1
Ce2 0.000 0.000 0.500 1
Co1 0.000 0.500 0.224 1
Co2 0.000 0.500 0.776 1
Co3 0.500 0.000 0.224 1
Co4 0.500 0.000 0.776 1
Co5 0.500 0.500 0.000 1
Si1 0.500 0.500 0.347 1
Si2 0.500 0.500 0.653 1
```

***

No. 5
## ScMnSn2Hg (PBE)

Data for an optimized crystal structure of ScMnSn2Hg.

**Space group**: P4/mmm
**Crystal system**: tetragonal
**Total DFT energy (no corrections)**: -4.03 eV/atom
**E_form**: 3.67 eV per formula unit

Geometry as CIF:
```
data_ScMnSn2Hg
_cell_length_a 5.471
_cell_length_b 5.471
_cell_length_c 4.976
_cell_angle_alpha 90.00
_cell_angle_beta 90.00
_cell_angle_gamma 90.00
_space_group_name_H-M_alt 'P 1'
_space_group_IT_number 1
_space_group_name_Hall 'P 1'
loop_
_atom_site_label
_atom_site_fract_x
_atom_site_fract_y
_atom_site_fract_z
_atom_site_occupancy
Sc1 0.000 0.000 0.000 1
Mn1 0.500 0.500 0.000 1
Sn1 0.000 0.500 0.500 1
Sn2 0.500 0.000 0.500 1
Hg1 0.500 0.500 0.500 1
```

***

No. 6
## BaCuAgAs2 (PBE)

Data for an optimized crystal structure of BaCuAgAs2.

**Space group**: I-4m2
**Crystal system**: tetragonal
**Total DFT energy (no corrections)**: -4.09 eV/atom
**E_form**: -2.29 eV per formula unit

Geometry as CIF:
```
data_BaCuAgAs2
_cell_length_a 6.485
_cell_length_b 6.485
_cell_length_c 6.485
_cell_angle_alpha 139.68
_cell_angle_beta 139.68
_cell_angle_gamma 58.34
_space_group_name_H-M_alt 'P 1'
_space_group_IT_number 1
_space_group_name_Hall 'P 1'
loop_
_atom_site_label
_atom_site_fract_x
_atom_site_fract_y
_atom_site_fract_z
_atom_site_occupancy
Ba1 0.000 0.000 0.000 1
Cu1 0.250 0.750 0.500 1
Ag1 0.750 0.250 0.500 1
As1 0.375 0.375 0.000 1
As2 0.625 0.625 0.000 1
```

***

No. 7
## InSnIr2 (PBE)

Data for an optimized crystal structure of InSnIr2.

**Space group**: P4/mmm
**Crystal system**: tetragonal
**Total DFT energy (no corrections)**: -6.14 eV/atom
**E_form**: -0.10 eV per formula unit

Geometry as CIF:
```
data_InSnIr2
_cell_length_a 3.075
_cell_length_b 3.075
_cell_length_c 7.377
_cell_angle_alpha 90.00
_cell_angle_beta 90.00
_cell_angle_gamma 90.00
_space_group_name_H-M_alt 'P 1'
_space_group_IT_number 1
_space_group_name_Hall 'P 1'
loop_
_atom_site_label
_atom_site_fract_x
_atom_site_fract_y
_atom_site_fract_z
_atom_site_occupancy
In1 0.000 0.000 0.000 1
Sn1 0.000 0.000 0.500 1
Ir1 0.500 0.500 0.259 1
Ir2 0.500 0.500 0.741 1
```

***

No. 8
## LaCr2Hg (PBE)

Data for an optimized crystal structure of LaCr2Hg.

**Space group**: I4_1/amd
**Crystal system**: tetragonal
**Total DFT energy (no corrections)**: -5.34 eV/atom
**E_form**: 3.10 eV per formula unit

Geometry as CIF:
```
data_LaCr2Hg
_cell_length_a 10.176
_cell_length_b 10.176
_cell_length_c 10.176
_cell_angle_alpha 155.03
_cell_angle_beta 155.03
_cell_angle_gamma 35.60
_space_group_name_H-M_alt 'P 1'
_space_group_IT_number 1
_space_group_name_Hall 'P 1'
loop_
_atom_site_label
_atom_site_fract_x
_atom_site_fract_y
_atom_site_fract_z
_atom_site_occupancy
La1 0.375 0.625 0.750 1
La2 0.625 0.375 0.250 1
Cr1 0.000 0.000 0.000 1
Cr2 0.000 0.000 0.500 1
Cr3 0.000 0.500 0.000 1
Cr4 0.500 0.000 0.500 1
Hg1 0.125 0.875 0.250 1
Hg2 0.875 0.125 0.750 1
```